Entry from the Alexandria database: a geometry-optimized AcPt6 structure (PBE).

Geometry as POSCAR:
```
AcPt6
1.0
-3.740 -3.605 3.124
3.439 -4.789 -1.408
3.305 0.904 5.000
Ac Pt
1 6
direct
0.000 0.000 0.000
0.195 0.500 0.500
0.500 0.500 0.805
0.500 0.500 0.195
0.500 0.195 0.500
0.500 0.805 0.500
0.805 0.500 0.500
```

SG: Pm-3m, No. 221

***

Entry from the Alexandria database: a geometry-optimized Ac4Pt3 structure (PBE).

Geometry as POSCAR:
```
Ac4Pt3
1.0
4.336 0.000 0.873
2.080 3.804 0.873
-0.617 -0.366 14.274
Ac Pt
4 3
direct
0.375 0.375 0.874
0.124 0.124 0.629
0.876 0.876 0.371
0.625 0.625 0.126
0.753 0.753 0.742
0.247 0.247 0.258
0.000 0.000 0.000
```

SG: R-3m, No. 166

***

Entry from the Alexandria database: a geometry-optimized Ac2Pt3 structure (PBE).

Geometry as POSCAR:
```
Ac2Pt3
1.0
-3.589 -1.396 1.668
-0.728 -2.465 -3.630
8.685 -9.993 5.042
Ac Pt
4 6
direct
0.298 0.750 0.596
0.702 0.250 0.404
0.571 0.750 0.142
0.429 0.250 0.858
0.183 0.750 0.365
0.817 0.250 0.635
0.881 0.750 0.761
0.119 0.250 0.239
0.026 0.250 0.052
0.974 0.750 0.948
```

SG: Cmcm, No. 63

***

Entry from the Alexandria database: a geometry-optimized Ac3Pt structure (PBE).

Geometry as POSCAR:
```
Ac3Pt
1.0
-2.281 1.042 -3.098
-3.221 -1.589 1.837
-1.885 8.882 4.375
Ac Pt
3 1
direct
0.000 0.500 0.471
0.500 0.500 0.113
0.500 0.000 0.759
0.000 0.000 0.991
```

E above lowest polymorph, meV/atom: 142
SG: Pmm2, No. 25

***

Number 1: energy relative to the elements 720 meV per atom. Number 2: energy relative to the elements -1030 meV per atom. Number 3: energy relative to the elements -1079 meV per atom. Number 4: energy relative to the elements -413 meV per atom.